The following is a PBE calculation of Er4Te3S2 after structural relaxation, from Alexandria via LeMat-Bulk.

Lattice parameters (Å, degrees): 13.874 3.932 9.005 90.00 100.46 90.00
Space group C2/m (No. 12)
Symmetry-distinct sites (fractional):
1 Er 0.075 0.000 0.180 x4
2 Er 0.167 0.500 0.607 x4
3 Te 0.000 0.000 0.500 x2
4 Te 0.105 0.500 0.912 x4
5 S 0.201 0.500 0.316 x4

Summary:
E_form (uncorrected): -1578.2 meV per atom
DOS at the Fermi energy: 5.46 states/eV per cell